# CaTb2Fe | the Alexandria database | GGA-PBE | optimized geometry
# energy relative to the elements = 87 meV per atom
# energy relative to the lowest polymorph listed for this composition = 0 meV/atom
data_CaTb2Fe
_space_group_name_H-M_alt 'P 4/m m m'
_space_group_IT_number 123
_space_group_name_Hall '-P 4 2'
_cell_length_a 3.4619
_cell_length_b 3.4619
_cell_length_c 9.2910
_cell_angle_alpha 90.00
_cell_angle_beta 90.00
_cell_angle_gamma 90.00
loop_
_atom_site_label
_atom_site_type_symbol
_atom_site_fract_x
_atom_site_fract_y
_atom_site_fract_z
Ca1 Ca 0.0000 0.0000 0.0000
Tb1 Tb 0.5000 0.5000 0.3271
Fe1 Fe 0.0000 0.0000 0.5000

---

# CaFe2Tc2 | the Alexandria database | GGA-PBE | optimized geometry
# energy relative to the elements = 336 meV per atom
# energy relative to the lowest polymorph listed for this composition = 29 meV/atom
data_CaFe2Tc2
_space_group_name_H-M_alt 'P 4/m b m'
_space_group_IT_number 127
_space_group_name_Hall '-P 4 2ab'
_cell_length_a 7.4459
_cell_length_b 7.4459
_cell_length_c 2.6835
_cell_angle_alpha 90.00
_cell_angle_beta 90.00
_cell_angle_gamma 90.00
loop_
_atom_site_label
_atom_site_type_symbol
_atom_site_fract_x
_atom_site_fract_y
_atom_site_fract_z
Ca1 Ca 0.0000 0.0000 0.0000
Fe1 Fe 0.1185 0.3815 0.0000
Tc1 Tc 0.1640 0.6640 0.5000

---

# CaFeTc | the Alexandria database | GGA-PBE | optimized geometry
# energy relative to the elements = 421 meV per atom
# energy relative to the lowest polymorph listed for this composition = 28 meV/atom
data_CaFeTc
_space_group_name_H-M_alt 'P -6 m 2'
_space_group_IT_number 187
_space_group_name_Hall 'P -6 2'
_cell_length_a 3.8629
_cell_length_b 3.8629
_cell_length_c 4.7943
_cell_angle_alpha 90.00
_cell_angle_beta 90.00
_cell_angle_gamma 120.00
loop_
_atom_site_label
_atom_site_type_symbol
_atom_site_fract_x
_atom_site_fract_y
_atom_site_fract_z
Ca1 Ca 0.0000 0.0000 0.0000
Fe1 Fe 0.3333 0.6667 0.5000
Tc1 Tc 0.6667 0.3333 0.5000

---

# CaFeTc | the Alexandria database | GGA-PBE | optimized geometry
# energy relative to the elements = 719 meV per atom
# energy relative to the lowest polymorph listed for this composition = 326 meV/atom
data_CaFeTc
_space_group_name_H-M_alt 'P 3 m 1'
_space_group_IT_number 156
_space_group_name_Hall 'P 3 -2"'
_cell_length_a 3.0180
_cell_length_b 3.0180
_cell_length_c 6.8158
_cell_angle_alpha 90.00
_cell_angle_beta 90.00
_cell_angle_gamma 120.00
loop_
_atom_site_label
_atom_site_type_symbol
_atom_site_fract_x
_atom_site_fract_y
_atom_site_fract_z
Ca1 Ca 0.0000 0.0000 0.0000
Fe1 Fe 0.3333 0.6667 0.3767
Tc1 Tc 0.6667 0.3333 0.6291

---

# CaFe2Tc2 | the Alexandria database | GGA-PBE | optimized geometry
# energy relative to the elements = 307 meV per atom
# energy relative to the lowest polymorph listed for this composition = 0 meV/atom
data_CaFe2Tc2
_space_group_name_H-M_alt 'P 4/m b m'
_space_group_IT_number 127
_space_group_name_Hall '-P 4 2ab'
_cell_length_a 7.5517
_cell_length_b 7.5517
_cell_length_c 2.6321
_cell_angle_alpha 90.00
_cell_angle_beta 90.00
_cell_angle_gamma 90.00
loop_
_atom_site_label
_atom_site_type_symbol
_atom_site_fract_x
_atom_site_fract_y
_atom_site_fract_z
Ca1 Ca 0.0000 0.0000 0.0000
Fe1 Fe 0.1656 0.3344 0.5000
Tc1 Tc 0.1226 0.6226 0.0000

---

# CaFeTc | the Alexandria database | GGA-PBE | optimized geometry
# energy relative to the elements = 393 meV per atom
# energy relative to the lowest polymorph listed for this composition = 0 meV/atom
data_CaFeTc
_space_group_name_H-M_alt 'I 4 m m'
_space_group_IT_number 107
_space_group_name_Hall 'I 4 -2'
_cell_length_a 3.0794
_cell_length_b 3.0794
_cell_length_c 11.3744
_cell_angle_alpha 90.00
_cell_angle_beta 90.00
_cell_angle_gamma 90.00
loop_
_atom_site_label
_atom_site_type_symbol
_atom_site_fract_x
_atom_site_fract_y
_atom_site_fract_z
Ca1 Ca 0.0000 0.0000 0.0000
Fe1 Fe 0.0000 0.0000 0.7038
Tc1 Tc 0.0000 0.0000 0.2907

---

# CaFeTc | the Alexandria database | GGA-PBE | optimized geometry
# energy relative to the elements = 874 meV per atom
# energy relative to the lowest polymorph listed for this composition = 481 meV/atom
data_CaFeTc
_space_group_name_H-M_alt 'F -4 3 m'
_space_group_IT_number 216
_space_group_name_Hall 'F -4 2 3'
_cell_length_a 6.0296
_cell_length_b 6.0296
_cell_length_c 6.0296
_cell_angle_alpha 90.00
_cell_angle_beta 90.00
_cell_angle_gamma 90.00
loop_
_atom_site_label
_atom_site_type_symbol
_atom_site_fract_x
_atom_site_fract_y
_atom_site_fract_z
Ca1 Ca 0.0000 0.0000 0.0000
Fe1 Fe 0.2500 0.2500 0.7500
Tc1 Tc 0.0000 0.0000 0.5000

---

# CaFeTc | the Alexandria database | GGA-PBE | optimized geometry
# energy relative to the elements = 1807 meV per atom
# energy relative to the lowest polymorph listed for this composition = 1414 meV/atom
data_CaFeTc
_space_group_name_H-M_alt 'F -4 3 m'
_space_group_IT_number 216
_space_group_name_Hall 'F -4 2 3'
_cell_length_a 6.4385
_cell_length_b 6.4385
_cell_length_c 6.4385
_cell_angle_alpha 90.00
_cell_angle_beta 90.00
_cell_angle_gamma 90.00
loop_
_atom_site_label
_atom_site_type_symbol
_atom_site_fract_x
_atom_site_fract_y
_atom_site_fract_z
Ca1 Ca 0.0000 0.0000 0.0000
Fe1 Fe 0.2500 0.2500 0.2500
Tc1 Tc 0.2500 0.2500 0.7500

---

# CaFeTe | the Alexandria database | GGA-PBE | optimized geometry
# formation energy from raw total energies = -8.668 kcal/mol of atoms
# energy relative to the lowest polymorph listed for this composition = 72 meV/atom
data_CaFeTe
_space_group_name_H-M_alt 'P -6 m 2'
_space_group_IT_number 187
_space_group_name_Hall 'P -6 2'
_cell_length_a 4.3879
_cell_length_b 4.3879
_cell_length_c 4.2117
_cell_angle_alpha 90.00
_cell_angle_beta 90.00
_cell_angle_gamma 120.00
loop_
_atom_site_label
_atom_site_type_symbol
_atom_site_fract_x
_atom_site_fract_y
_atom_site_fract_z
Ca1 Ca 0.0000 0.0000 0.0000
Fe1 Fe 0.6667 0.3333 0.5000
Te1 Te 0.3333 0.6667 0.5000

---

# CaFe4Te | the Alexandria database | GGA-PBE | optimized geometry
# formation energy from raw total energies = 4.196 kcal/mol of atoms
data_CaFe4Te
_space_group_name_H-M_alt 'F -4 3 m'
_space_group_IT_number 216
_space_group_name_Hall 'F -4 2 3'
_cell_length_a 7.2784
_cell_length_b 7.2784
_cell_length_c 7.2784
_cell_angle_alpha 90.00
_cell_angle_beta 90.00
_cell_angle_gamma 90.00
loop_
_atom_site_label
_atom_site_type_symbol
_atom_site_fract_x
_atom_site_fract_y
_atom_site_fract_z
Ca1 Ca 0.0000 0.0000 0.0000
Fe1 Fe 0.1269 0.1269 0.6269
Te1 Te 0.2500 0.2500 0.2500

---

# CaFeTe3 | the Alexandria database | GGA-PBE | optimized geometry
# formation energy from raw total energies = -2.903 kcal/mol of atoms
data_CaFeTe3
_space_group_name_H-M_alt 'P m -3 m'
_space_group_IT_number 221
_space_group_name_Hall '-P 4 2 3'
_cell_length_a 5.1552
_cell_length_b 5.1552
_cell_length_c 5.1552
_cell_angle_alpha 90.00
_cell_angle_beta 90.00
_cell_angle_gamma 90.00
loop_
_atom_site_label
_atom_site_type_symbol
_atom_site_fract_x
_atom_site_fract_y
_atom_site_fract_z
Ca1 Ca 0.0000 0.0000 0.0000
Fe1 Fe 0.5000 0.5000 0.5000
Te1 Te 0.0000 0.5000 0.5000

---

# CaFeTe | the Alexandria database | GGA-PBE | optimized geometry
# formation energy from raw total energies = -10.323 kcal/mol of atoms
# energy relative to the lowest polymorph listed for this composition = 0 meV/atom
data_CaFeTe
_space_group_name_H-M_alt 'P 1 21/m 1'
_space_group_IT_number 11
_space_group_name_Hall '-P 2yb'
_cell_length_a 5.6607
_cell_length_b 4.1179
_cell_length_c 6.5813
_cell_angle_alpha 90.00
_cell_angle_beta 98.10
_cell_angle_gamma 90.00
loop_
_atom_site_label
_atom_site_type_symbol
_atom_site_fract_x
_atom_site_fract_y
_atom_site_fract_z
Ca1 Ca 0.1743 0.2500 0.2283
Fe1 Fe 0.4019 0.7500 0.9514
Te1 Te 0.2652 0.2500 0.7276

---

| no. | calculated total energy (eV for the cell shown) |
| --- | --- |
| 1 | -19.377 |
| 2 | -75.960 |
| 3 | -19.568 |
| 4 | -18.672 |
| 5 | -76.247 |
| 6 | -39.301 |
| 7 | -72.831 |
| 8 | -61.632 |
| 9 | -14.734 |
| 10 | -151.609 |
| 11 | -20.519 |
| 12 | -29.898 |